one:
SrInSb2I | PBE | relaxed

Lattice parameters (Å, degrees): 5.5681 5.5681 6.2907 90.00 90.00 90.00
Space group P4/mmm (No. 123)
One atom of each set of equivalent atoms:
Sr  0.0000  0.0000  0.0000 x1
In  0.5000  0.5000  0.5000 x1
Sb  0.0000  0.5000  0.5000 x2
I  0.5000  0.5000  0.0000 x1

Volume   39.01 Å³ per atom
Crystal system   tetragonal

---

two:
SrInSb2I | PBE | relaxed

Lattice parameters (Å, degrees): 6.2567 6.2567 6.3150 90.00 90.00 90.00
Space group P4/mmm (No. 123)
One atom of each set of equivalent atoms:
Sr  0.0000  0.0000  0.0000 x1
In  0.5000  0.5000  0.5000 x1
Sb  0.0000  0.5000  0.0000 x2
I  0.0000  0.0000  0.5000 x1

Volume   49.44 Å³ per atom
Crystal system   tetragonal

---

Stability summary - winner: one; margin: 343 meV per atom.

---

one:
InSbTeI2 | PBE | relaxed

Lattice parameters (Å, degrees): 6.2335 6.2335 5.9711 90.00 90.00 90.00
Space group P4/mmm (No. 123)
One atom of each set of equivalent atoms:
In  0.0000  0.0000  0.0000 x1
Sb  0.5000  0.5000  0.5000 x1
Te  0.5000  0.5000  0.0000 x1
I  0.0000  0.5000  0.5000 x2

Volume   46.40 Å³ per atom
Crystal system   tetragonal

---

two:
InSbTeI2 | PBE | relaxed

Lattice parameters (Å, degrees): 6.2231 6.2231 5.7827 90.00 90.00 90.00
Space group P4/mmm (No. 123)
One atom of each set of equivalent atoms:
In  0.0000  0.0000  0.0000 x1
Sb  0.5000  0.5000  0.0000 x1
Te  0.5000  0.5000  0.5000 x1
I  0.0000  0.5000  0.5000 x2

Volume   44.79 Å³ per atom
Crystal system   tetragonal

---

Stability summary - winner: one; margin: 293 meV per atom.

---

one:
TiInSbI2 | PBE | relaxed

Lattice parameters (Å, degrees): 5.6450 5.6450 5.4001 90.00 90.00 90.00
Space group P4/mmm (No. 123)
One atom of each set of equivalent atoms:
Ti  0.0000  0.0000  0.0000 x1
In  0.5000  0.5000  0.5000 x1
Sb  0.0000  0.0000  0.5000 x1
I  0.0000  0.5000  0.0000 x2

Volume   34.42 Å³ per atom
Crystal system   tetragonal

---

two:
TiInSbI2 | PBE | relaxed

Lattice parameters (Å, degrees): 5.8437 5.8437 5.7414 90.00 90.00 90.00
Space group P4/mmm (No. 123)
One atom of each set of equivalent atoms:
Ti  0.0000  0.0000  0.0000 x1
In  0.5000  0.5000  0.5000 x1
Sb  0.5000  0.5000  0.0000 x1
I  0.0000  0.5000  0.5000 x2

Volume   39.21 Å³ per atom
Crystal system   tetragonal

---

Stability summary - winner: one; margin: 791 meV per atom.

---

one:
TiInSb2I | PBE | relaxed

Lattice parameters (Å, degrees): 5.5490 5.5490 5.9152 90.00 90.00 90.00
Space group P4/mmm (No. 123)
One atom of each set of equivalent atoms:
Ti  0.0000  0.0000  0.0000 x1
In  0.5000  0.5000  0.5000 x1
Sb  0.0000  0.5000  0.5000 x2
I  0.5000  0.5000  0.0000 x1

Volume   36.43 Å³ per atom
Crystal system   tetragonal

---

two:
TiInSb2I | PBE | relaxed

Lattice parameters (Å, degrees): 5.2337 5.2337 6.0990 90.00 90.00 90.00
Space group P4/mmm (No. 123)
One atom of each set of equivalent atoms:
Ti  0.0000  0.0000  0.0000 x1
In  0.5000  0.5000  0.5000 x1
Sb  0.0000  0.5000  0.0000 x2
I  0.0000  0.0000  0.5000 x1

Volume   33.41 Å³ per atom
Crystal system   tetragonal

---

Stability summary - winner: two; margin: 886 meV per atom.

---

one:
VInSbI2 | PBE | relaxed

Lattice parameters (Å, degrees): 5.6793 5.6793 5.2643 90.00 90.00 90.00
Space group P4/mmm (No. 123)
One atom of each set of equivalent atoms:
V  0.0000  0.0000  0.0000 x1
In  0.5000  0.5000  0.5000 x1
Sb  0.0000  0.0000  0.5000 x1
I  0.0000  0.5000  0.0000 x2

Volume   33.96 Å³ per atom
Crystal system   tetragonal

---

two:
VInSbI2 | PBE | relaxed

Lattice parameters (Å, degrees): 5.8845 5.8845 5.7757 90.00 90.00 90.00
Space group P4/mmm (No. 123)
One atom of each set of equivalent atoms:
V  0.0000  0.0000  0.0000 x1
In  0.5000  0.5000  0.5000 x1
Sb  0.5000  0.5000  0.0000 x1
I  0.0000  0.5000  0.5000 x2

Volume   40.00 Å³ per atom
Crystal system   tetragonal

---

Stability summary - winner: one; margin: 736 meV per atom.

---

one:
VInSb2I | PBE | relaxed

Lattice parameters (Å, degrees): 5.1046 5.1046 6.1209 90.00 90.00 90.00
Space group P4/mmm (No. 123)
One atom of each set of equivalent atoms:
V  0.0000  0.0000  0.0000 x1
In  0.5000  0.5000  0.5000 x1
Sb  0.0000  0.5000  0.0000 x2
I  0.0000  0.0000  0.5000 x1

Volume   31.90 Å³ per atom
Crystal system   tetragonal

---

two:
VInSb2I | PBE | relaxed

Lattice parameters (Å, degrees): 5.5519 5.5519 5.9498 90.00 90.00 90.00
Space group P4/mmm (No. 123)
One atom of each set of equivalent atoms:
V  0.0000  0.0000  0.0000 x1
In  0.5000  0.5000  0.5000 x1
Sb  0.0000  0.5000  0.5000 x2
I  0.5000  0.5000  0.0000 x1

Volume   36.68 Å³ per atom
Crystal system   tetragonal

---

Stability summary - winner: one; margin: 869 meV per atom.

---

one:
YInSb2I | PBE | relaxed

Lattice parameters (Å, degrees): 5.8655 5.8655 6.0480 90.00 90.00 90.00
Space group P4/mmm (No. 123)
One atom of each set of equivalent atoms:
Y  0.0000  0.0000  0.0000 x1
In  0.5000  0.5000  0.5000 x1
Sb  0.0000  0.5000  0.0000 x2
I  0.0000  0.0000  0.5000 x1

Volume   41.61 Å³ per atom
Crystal system   tetragonal

---

two:
YInSb2I | PBE | relaxed

Lattice parameters (Å, degrees): 5.5409 5.5409 5.8102 90.00 90.00 90.00
Space group P4/mmm (No. 123)
One atom of each set of equivalent atoms:
Y  0.0000  0.0000  0.0000 x1
In  0.5000  0.5000  0.5000 x1
Sb  0.0000  0.5000  0.5000 x2
I  0.5000  0.5000  0.0000 x1

Volume   35.68 Å³ per atom
Crystal system   tetragonal

---

Stability summary - winner: one; margin: 320 meV per atom.

---

one:
ZnInSb2I | PBE | relaxed

Lattice parameters (Å, degrees): 5.7278 5.7278 6.0387 90.00 90.00 90.00
Space group P4/mmm (No. 123)
One atom of each set of equivalent atoms:
Zn  0.0000  0.0000  0.0000 x1
In  0.5000  0.5000  0.5000 x1
Sb  0.0000  0.5000  0.5000 x2
I  0.5000  0.5000  0.0000 x1

Volume   39.62 Å³ per atom
Crystal system   tetragonal

---

two:
ZnInSb2I | PBE | relaxed

Lattice parameters (Å, degrees): 5.2278 5.2278 6.0961 90.00 90.00 90.00
Space group P4/mmm (No. 123)
One atom of each set of equivalent atoms:
Zn  0.0000  0.0000  0.0000 x1
In  0.5000  0.5000  0.5000 x1
Sb  0.0000  0.5000  0.0000 x2
I  0.0000  0.0000  0.5000 x1

Volume   33.32 Å³ per atom
Crystal system   tetragonal

---

Stability summary - winner: two; margin: 340 meV per atom.

---

one:
ZrInSb2I | PBE | relaxed

Lattice parameters (Å, degrees): 5.5116 5.5116 5.7412 90.00 90.00 90.00
Space group P4/mmm (No. 123)
One atom of each set of equivalent atoms:
Zr  0.0000  0.0000  0.0000 x1
In  0.5000  0.5000  0.5000 x1
Sb  0.0000  0.5000  0.5000 x2
I  0.5000  0.5000  0.0000 x1

Volume   34.88 Å³ per atom
Crystal system   tetragonal

---

two:
ZrInSb2I | PBE | relaxed

Lattice parameters (Å, degrees): 5.5576 5.5576 6.0247 90.00 90.00 90.00
Space group P4/mmm (No. 123)
One atom of each set of equivalent atoms:
Zr  0.0000  0.0000  0.0000 x1
In  0.5000  0.5000  0.5000 x1
Sb  0.0000  0.5000  0.0000 x2
I  0.0000  0.0000  0.5000 x1

Volume   37.22 Å³ per atom
Crystal system   tetragonal

---

Stability summary - winner: two; margin: 848 meV per atom.

---

one:
ZrInSbI2 | PBE | relaxed

Lattice parameters (Å, degrees): 5.7246 5.7246 5.7143 90.00 90.00 90.00
Space group P4/mmm (No. 123)
One atom of each set of equivalent atoms:
Zr  0.0000  0.0000  0.0000 x1
In  0.5000  0.5000  0.5000 x1
Sb  0.5000  0.5000  0.0000 x1
I  0.0000  0.5000  0.5000 x2

Volume   37.45 Å³ per atom
Crystal system   tetragonal

---

two:
ZrInSbI2 | PBE | relaxed

Lattice parameters (Å, degrees): 5.6581 5.6581 5.9468 90.00 90.00 90.00
Space group P4/mmm (No. 123)
One atom of each set of equivalent atoms:
Zr  0.0000  0.0000  0.0000 x1
In  0.0000  0.0000  0.5000 x1
Sb  0.5000  0.5000  0.0000 x1
I  0.0000  0.5000  0.5000 x2

Volume   38.08 Å³ per atom
Crystal system   tetragonal

---

Stability summary - winner: one; margin: 148 meV per atom.

---

one:
Sc2InI | PBE | relaxed

Lattice parameters (Å, degrees): 3.6943 3.6943 29.6118 90.00 90.00 120.00
Space group R-3m (No. 166, hexagonal axes)
One atom of each set of equivalent atoms:
Sc  0.0000  0.0000  0.0935 x6
In  0.0000  0.0000  0.5000 x3
I  0.0000  0.0000  0.0000 x3

Volume   29.17 Å³ per atom
Crystal system   trigonal

---

two:
Sc2InI | PBE | relaxed

Lattice parameters (Å, degrees): 6.1467 6.1467 14.9988 90.00 90.00 90.00
Space group I-42d (No. 122)
One atom of each set of equivalent atoms:
Sc  0.2198  0.2500  0.1250 x8
In  0.0000  0.0000  0.0000 x4
I  0.0000  0.0000  0.5000 x4

Volume   35.42 Å³ per atom
Crystal system   tetragonal

---

Stability summary - winner: one; margin: 306 meV per atom.

---

one:
ScIn2I5 | PBE | relaxed

Lattice parameters (Å, degrees): 15.1541 8.3000 8.2981 90.00 123.11 90.00
Space group Cm (No. 8)
One atom of each set of equivalent atoms:
Sc  0.0000  0.0000  0.0000 x2
In  0.1851  0.0000  0.6844 x2
In  0.1848  0.5000  0.1814 x2
I  0.0516  0.2373  0.8133 x4
I  0.0534  0.2376  0.2900 x4
I  0.2868  0.5000  0.7890 x2

Volume   54.64 Å³ per atom
Crystal system   monoclinic

---

two:
ScIn2I5 | PBE | relaxed

Lattice parameters (Å, degrees): 10.3347 12.5701 7.5702 90.00 124.36 90.00
Space group Cm (No. 8)
One atom of each set of equivalent atoms:
Sc  0.0000  0.0000  0.0000 x2
In  0.0706  0.2783  0.6516 x4
I  0.0121  0.0000  0.6448 x2
I  0.2087  0.5000  0.9548 x2
I  0.2955  0.0000  0.3783 x2
I  0.4793  0.2689  0.9973 x4

Volume   50.74 Å³ per atom
Crystal system   monoclinic

---

Stability summary - winner: two; margin: 7 meV per atom.